Below is LiPr8Tl5 after structural relaxation, with properties calculated at the PBE level.

abc: 8.399 8.399 8.399
angles: 109.44 109.54 109.44
Fractional positions:
Pr  0.135  0.761  0.035
Tl  0.758  0.621  0.632
Pr  0.965  0.100  0.726
Pr  0.480  0.600  0.243
Tl  0.500  0.000  0.500
Pr  0.625  0.900  0.865
Tl  0.011  0.379  0.137
Tl  0.863  0.874  0.242
Tl  0.368  0.126  0.989
Pr  0.757  0.237  0.358
Li  0.250  0.500  0.750
Pr  0.642  0.400  0.880
Pr  0.120  0.763  0.520
Pr  0.274  0.239  0.375

Computed properties:
**Total magnetization**: 0.000 Bohr magnetons per cell
**Total energy**: -54.75 eV/cell
**Crystal system**: tetragonal
**Space-group type**: I-4 (82)